DFT (PBE) results for a relaxed Cd6InHg8 crystal.

```
15
Lattice="9.015 0.000 0.000 -4.508 7.808 0.000 0.000 0.000 5.453" Properties=species:S:1:pos:R:3 pbc="T T T"
Cd -1.856 4.988 1.654
Cd 1.116 3.706 1.654
Cd 3.768 0.887 3.799
Cd 0.740 6.921 1.654
Cd 3.392 4.101 3.799
Cd 6.364 2.819 3.799
In 0.000 0.000 2.727
Hg -3.074 5.826 4.431
Hg 1.000 2.233 4.431
Hg 2.433 0.251 1.022
Hg 0.000 5.205 4.331
Hg 4.508 2.603 1.122
Hg 2.074 7.557 4.431
Hg 3.508 5.575 1.022
Hg 7.582 1.982 1.022
```

**Symmetry**: No. 147
**Energy of formation**: 0.51 eV per formula unit
**Density**: 10.357 g/cm3